Version A
Density functional theory data (PBE) for a relaxed structure of BaTcS2Cl.

Summary:
Density of states at the Fermi level, states/eV/f.u.: 3.7
Crystal system: tetragonal
Total moment, μB/f.u.: 4.9

Cell and atoms, written as extended XYZ:
```
5
Lattice="5.776 0.000 0.000 0.000 5.776 0.000 0.000 0.000 5.692" Properties=species:S:1:pos:R:3 pbc="T T T"
Ba 0.000 0.000 0.000
Tc 2.888 2.888 2.846
Cl 0.000 0.000 2.846
S 2.888 0.000 0.000
S 0.000 2.888 0.000
```

***

Version B
Density functional theory data (PBE) for a relaxed structure of BaTcS2Cl.

Summary:
Density of states at the Fermi level, states/eV/f.u.: 2.9
Crystal system: tetragonal
Total moment, μB/f.u.: 1.2

Cell and atoms, written as extended XYZ:
```
5
Lattice="4.734 0.000 0.000 0.000 4.734 0.000 0.000 0.000 5.093" Properties=species:S:1:pos:R:3 pbc="T T T"
Ba 2.367 2.367 2.546
Tc 0.000 0.000 0.000
Cl 0.000 0.000 2.546
S 0.000 2.367 0.000
S 2.367 0.000 0.000
```

***

The winner here is version B, beating the second structure by 154.9 kJ/mol of atoms.

***

Version A
Density functional theory data (PBE) for a relaxed structure of BaTeS2Cl.

Summary:
Density of states at the Fermi level, states/eV/f.u.: 10.0
Crystal system: tetragonal
Total moment, μB/f.u.: 0.5

Cell and atoms, written as extended XYZ:
```
5
Lattice="-5.037 -1.994 2.777 -1.807 -2.646 -5.176 2.783 -4.898 1.531" Properties=species:S:1:pos:R:3 pbc="T T T"
Ba 0.000 0.000 0.000
S -2.518 -0.997 1.389
S -0.903 -1.323 -2.588
Te -2.030 -4.768 -0.434
Cl 1.392 -2.449 0.766
```

***

Version B
Density functional theory data (PBE) for a relaxed structure of BaTeS2Cl.

Summary:
Density of states at the Fermi level, states/eV/f.u.: 5.8
Crystal system: tetragonal
Total moment, μB/f.u.: 0.0

Cell and atoms, written as extended XYZ:
```
5
Lattice="-1.762 4.680 0.660 -5.045 -1.532 -2.608 -1.903 -1.347 4.473" Properties=species:S:1:pos:R:3 pbc="T T T"
S -0.952 -0.674 2.237
S -0.881 2.340 0.330
Cl 0.000 0.000 0.000
Ba -2.522 -0.766 -1.304
Te -4.355 0.901 1.262
```

***

The winner here is version B, beating the second structure by 18.2 kJ/mol of atoms.

***

Version A
Density functional theory data (PBE) for a relaxed structure of BaTeSCl2.

Summary:
Density of states at the Fermi level, states/eV/f.u.: 6.8
Crystal system: tetragonal
Total moment, μB/f.u.: 1.4

Cell and atoms, written as extended XYZ:
```
5
Lattice="-4.924 -3.192 -0.471 1.872 -2.127 -5.159 2.858 -4.858 3.040" Properties=species:S:1:pos:R:3 pbc="T T T"
Ba 0.000 0.000 0.000
Cl -2.462 -1.596 -0.235
Cl 0.936 -1.064 -2.580
Te -0.097 -5.088 -1.295
S 1.429 -2.429 1.520
```

***

Version B
Density functional theory data (PBE) for a relaxed structure of BaTeSCl2.

Summary:
Density of states at the Fermi level, states/eV/f.u.: 1.8
Crystal system: tetragonal
Total moment, μB/f.u.: 0.0

Cell and atoms, written as extended XYZ:
```
5
Lattice="5.523 0.000 0.000 0.000 5.523 0.000 0.000 0.000 5.337" Properties=species:S:1:pos:R:3 pbc="T T T"
Cl 0.000 2.761 0.000
Cl 2.761 0.000 0.000
Ba 2.761 2.761 2.668
Te 0.000 0.000 0.000
S 0.000 0.000 2.668
```

***

The winner here is version B, beating the second structure by 43.0 kJ/mol of atoms.

***

Version A
Density functional theory data (PBE) for a relaxed structure of BaTiSCl2.

Summary:
Density of states at the Fermi level, states/eV/f.u.: 2.3
Crystal system: tetragonal
Total moment, μB/f.u.: 1.9

Cell and atoms, written as extended XYZ:
```
5
Lattice="-4.795 0.096 1.427 0.743 -4.101 2.770 1.202 2.819 3.851" Properties=species:S:1:pos:R:3 pbc="T T T"
Cl 0.371 -2.050 1.385
Cl -2.398 0.048 0.713
Ti 0.000 0.000 0.000
S 0.601 1.409 1.925
Ba -1.425 -0.593 4.024
```

***

Version B
Density functional theory data (PBE) for a relaxed structure of BaTiSCl2.

Summary:
Density of states at the Fermi level, states/eV/f.u.: 5.9
Crystal system: tetragonal
Total moment, μB/f.u.: 2.3

Cell and atoms, written as extended XYZ:
```
5
Lattice="5.781 0.000 0.000 0.000 5.781 0.000 0.000 0.000 5.941" Properties=species:S:1:pos:R:3 pbc="T T T"
Ti 2.890 2.890 2.971
Ba 0.000 0.000 0.000
Cl 2.890 0.000 0.000
Cl 0.000 2.890 0.000
S 0.000 0.000 2.971
```

***

The winner here is version A, beating the second structure by 121.4 kJ/mol of atoms.

***

Version A
Density functional theory data (PBE) for a relaxed structure of BaVSCl2.

Summary:
Density of states at the Fermi level, states/eV/f.u.: 1.8
Crystal system: tetragonal
Total moment, μB/f.u.: 3.0

Cell and atoms, written as extended XYZ:
```
5
Lattice="-4.301 -1.336 1.926 2.192 -3.719 2.315 0.852 2.967 3.961" Properties=species:S:1:pos:R:3 pbc="T T T"
Cl 1.096 -1.860 1.157
Cl -2.151 -0.668 0.963
Ba -0.628 -1.044 4.101
S 0.426 1.484 1.980
V 0.000 0.000 0.000
```

***

Version B
Density functional theory data (PBE) for a relaxed structure of BaVSCl2.

Summary:
Density of states at the Fermi level, states/eV/f.u.: 4.2
Crystal system: tetragonal
Total moment, μB/f.u.: 3.0

Cell and atoms, written as extended XYZ:
```
5
Lattice="-0.500 3.408 4.648 -5.756 -0.535 -0.227 0.311 -4.868 3.603" Properties=species:S:1:pos:R:3 pbc="T T T"
Cl -2.878 -0.268 -0.113
Cl -0.250 1.704 2.324
V -2.973 -0.998 4.012
S 0.155 -2.434 1.801
Ba 0.000 0.000 0.000
```

***

The winner here is version A, beating the second structure by 117.9 kJ/mol of atoms.

***

Version A
Density functional theory data (PBE) for a relaxed structure of BaWSCl2.

Summary:
Density of states at the Fermi level, states/eV/f.u.: 10.3
Crystal system: tetragonal
Total moment, μB/f.u.: 4.0

Cell and atoms, written as extended XYZ:
```
5
Lattice="5.781 0.000 0.000 0.000 5.781 0.000 0.000 0.000 6.279" Properties=species:S:1:pos:R:3 pbc="T T T"
Cl 2.891 0.000 0.000
Cl 0.000 2.891 0.000
Ba 0.000 0.000 0.000
S 0.000 0.000 3.139
W 2.891 2.891 3.139
```

***

Version B
Density functional theory data (PBE) for a relaxed structure of BaWSCl2.

Summary:
Density of states at the Fermi level, states/eV/f.u.: 3.4
Crystal system: tetragonal
Total moment, μB/f.u.: 0.3

Cell and atoms, written as extended XYZ:
```
5
Lattice="5.077 0.000 0.000 0.000 5.077 0.000 0.000 0.000 4.639" Properties=species:S:1:pos:R:3 pbc="T T T"
Ba 2.538 2.538 2.319
Cl 2.538 0.000 0.000
Cl 0.000 2.538 0.000
W 0.000 0.000 0.000
S 0.000 0.000 2.319
```

***

The winner here is version B, beating the second structure by 126.6 kJ/mol of atoms.

***

Version A
Density functional theory data (PBE) for a relaxed structure of BaYSCl2.

Summary:
Density of states at the Fermi level, states/eV/f.u.: 3.4
Crystal system: tetragonal
Total moment, μB/f.u.: 0.9

Cell and atoms, written as extended XYZ:
```
5
Lattice="5.664 0.000 0.000 0.000 5.664 0.000 0.000 0.000 6.126" Properties=species:S:1:pos:R:3 pbc="T T T"
Cl 2.832 0.000 0.000
Cl 0.000 2.832 0.000
Ba 0.000 0.000 0.000
Y 2.832 2.832 3.063
S 0.000 0.000 3.063
```

***

Version B
Density functional theory data (PBE) for a relaxed structure of BaYSCl2.

Summary:
Density of states at the Fermi level, states/eV/f.u.: 2.7
Crystal system: tetragonal
Total moment, μB/f.u.: 0.0

Cell and atoms, written as extended XYZ:
```
5
Lattice="5.249 0.000 0.000 0.000 5.249 0.000 0.000 0.000 5.333" Properties=species:S:1:pos:R:3 pbc="T T T"
S 0.000 0.000 2.666
Y 0.000 0.000 0.000
Ba 2.624 2.624 2.666
Cl 0.000 2.624 0.000
Cl 2.624 0.000 0.000
```

***

The winner here is version B, beating the second structure by 91.0 kJ/mol of atoms.

***

Version A
Density functional theory data (PBE) for a relaxed structure of BaZrS2Cl.

Summary:
Density of states at the Fermi level, states/eV/f.u.: 2.4
Crystal system: tetragonal
Total moment, μB/f.u.: 0.0

Cell and atoms, written as extended XYZ:
```
5
Lattice="-1.321 -0.652 4.862 2.080 -4.634 -0.056 4.397 1.955 1.457" Properties=species:S:1:pos:R:3 pbc="T T T"
S 1.040 -2.317 -0.028
S -0.661 -0.326 2.431
Zr 0.000 0.000 0.000
Ba 2.578 -1.665 3.131
Cl 2.199 0.978 0.728
```

***

Version B
Density functional theory data (PBE) for a relaxed structure of BaZrS2Cl.

Summary:
Density of states at the Fermi level, states/eV/f.u.: 5.1
Crystal system: tetragonal
Total moment, μB/f.u.: 1.6

Cell and atoms, written as extended XYZ:
```
5
Lattice="5.713 0.000 0.000 0.000 5.713 0.000 0.000 0.000 5.576" Properties=species:S:1:pos:R:3 pbc="T T T"
S 0.000 2.856 0.000
S 2.856 0.000 0.000
Ba 0.000 0.000 0.000
Cl 0.000 0.000 2.788
Zr 2.856 2.856 2.788
```

***

The winner here is version A, beating the second structure by 177.9 kJ/mol of atoms.

***

Version A
Density functional theory data (PBE) for a relaxed structure of BaZrSCl2.

Summary:
Density of states at the Fermi level, states/eV/f.u.: 2.3
Crystal system: tetragonal
Total moment, μB/f.u.: 0.3

Cell and atoms, written as extended XYZ:
```
5
Lattice="5.082 0.000 0.000 0.000 5.082 0.000 0.000 0.000 5.094" Properties=species:S:1:pos:R:3 pbc="T T T"
Cl 0.000 2.541 0.000
Cl 2.541 0.000 0.000
Zr 0.000 0.000 0.000
S 0.000 0.000 2.547
Ba 2.541 2.541 2.547
```

***

Version B
Density functional theory data (PBE) for a relaxed structure of BaZrSCl2.

Summary:
Density of states at the Fermi level, states/eV/f.u.: 1.1
Crystal system: tetragonal
Total moment, μB/f.u.: 2.0

Cell and atoms, written as extended XYZ:
```
5
Lattice="5.674 0.000 0.000 0.000 5.674 0.000 0.000 0.000 6.124" Properties=species:S:1:pos:R:3 pbc="T T T"
S 0.000 0.000 3.062
Zr 2.837 2.837 3.062
Ba 0.000 0.000 0.000
Cl 2.837 0.000 0.000
Cl 0.000 2.837 0.000
```

***

The winner here is version A, beating the second structure by 117.3 kJ/mol of atoms.

***

Version A
Density functional theory data (PBE) for a relaxed structure of BaSbCl.

Summary:
Density of states at the Fermi level, states/eV/f.u.: 2.2
Crystal system: hexagonal
Total moment, μB/f.u.: 2.0

Cell and atoms, written as extended XYZ:
```
3
Lattice="-2.578 -1.337 -4.376 1.352 -3.691 3.484 -4.329 0.637 2.355" Properties=species:S:1:pos:R:3 pbc="T T T"
Cl -1.992 -2.016 -1.363
Ba -0.720 0.106 0.392
Sb -2.843 -2.482 2.433
```

***

Version B
Density functional theory data (PBE) for a relaxed structure of BaSbCl.

Summary:
Density of states at the Fermi level, states/eV/f.u.: 3.5
Crystal system: trigonal
Total moment, μB/f.u.: 0.0

Cell and atoms, written as extended XYZ:
```
3
Lattice="-3.904 0.457 -1.753 2.048 -3.776 -0.263 -3.594 -2.461 7.363" Properties=species:S:1:pos:R:3 pbc="T T T"
Sb -4.510 -2.727 4.049
Ba -0.148 -0.101 0.303
Cl -0.793 -2.952 0.996
```

***

The winner here is version B, beating the second structure by 1.7 kJ/mol of atoms.

***

Version A
Density functional theory data (PBE) for a relaxed structure of BaSbTe2Cl.

Summary:
Density of states at the Fermi level, states/eV/f.u.: 4.0
Crystal system: tetragonal
Total moment, μB/f.u.: 0.0

Cell and atoms, written as extended XYZ:
```
5
Lattice="5.783 0.000 0.000 0.000 5.783 0.000 0.000 0.000 5.204" Properties=species:S:1:pos:R:3 pbc="T T T"
Te 2.892 0.000 0.000
Te 0.000 2.892 0.000
Ba 2.892 2.892 2.602
Sb 0.000 0.000 2.602
Cl 0.000 0.000 0.000
```

***

Version B
Density functional theory data (PBE) for a relaxed structure of BaSbTe2Cl.

Summary:
Density of states at the Fermi level, states/eV/f.u.: 10.9
Crystal system: tetragonal
Total moment, μB/f.u.: 2.5

Cell and atoms, written as extended XYZ:
```
5
Lattice="-2.469 -3.902 -4.689 6.082 -1.186 -2.216 0.479 -5.271 4.134" Properties=species:S:1:pos:R:3 pbc="T T T"
Te -1.235 -1.951 -2.345
Te 3.041 -0.593 -1.108
Cl 2.046 -5.179 -1.386
Sb 0.239 -2.635 2.067
Ba 0.000 0.000 0.000
```

***

The winner here is version A, beating the second structure by 75.5 kJ/mol of atoms.

***

Version A
Density functional theory data (PBE) for a relaxed structure of BaScCl.

Summary:
Density of states at the Fermi level, states/eV/f.u.: 2.4
Crystal system: cubic
Total moment, μB/f.u.: 2.0

Cell and atoms, written as extended XYZ:
```
3
Lattice="5.227 0.000 0.000 2.613 4.526 0.000 2.613 1.509 4.268" Properties=species:S:1:pos:R:3 pbc="T T T"
Ba 5.227 3.018 2.134
Sc 0.000 0.000 0.000
Cl 7.840 4.526 3.201
```

***

Version B
Density functional theory data (PBE) for a relaxed structure of BaScCl.

Summary:
Density of states at the Fermi level, states/eV/f.u.: 7.5
Crystal system: cubic
Total moment, μB/f.u.: 2.0

Cell and atoms, written as extended XYZ:
```
3
Lattice="-0.220 0.235 5.781 -1.259 -4.761 3.045 4.106 -2.584 3.161" Properties=species:S:1:pos:R:3 pbc="T T T"
Ba 1.970 -5.333 8.990
Cl 0.000 0.000 0.000
Sc 1.313 -3.555 5.994
```

***

The winner here is version A, beating the second structure by 45.4 kJ/mol of atoms.